No. 1
The following is a PBE-GGA calculation of a relaxed KOs3 crystal, from the Alexandria database.

Unit cell a=2.7701 b=2.7701 c=30.8092 alpha=90.00 beta=90.00 gamma=120.00
Space group R-3m (No. 166, hexagonal axes)
Inequivalent atoms, fractional coordinates:
K 0.0000 0.0000 0.0000
Os 0.0000 0.0000 0.2362
Os 0.0000 0.0000 0.5000

The value obtained for the energy above the most stable polymorph in this dataset is 0.0 meV/atom. The formation energy is 3.14 eV per formula unit.

No. 2
The following is a PBE-GGA calculation of a relaxed KOs3 crystal, from the Alexandria database.

Unit cell a=2.7608 b=7.0330 c=8.3997 alpha=90.00 beta=90.00 gamma=90.00
Space group Pmmn (No. 59, origin choice 2)
Inequivalent atoms, fractional coordinates:
K 0.2500 0.2500 0.0340
Os 0.2500 0.5690 0.6162
Os 0.2500 0.7500 0.3416

The value obtained for the energy above the most stable polymorph in this dataset is 2.8 meV/atom. The formation energy is 3.15 eV per formula unit.

No. 3
The following is a PBE-GGA calculation of a relaxed KOs3 crystal, from the Alexandria database.

Unit cell a=9.4291 b=9.4291 c=2.5943 alpha=90.00 beta=90.00 gamma=120.00
Space group R-3m (No. 166, hexagonal axes)
Inequivalent atoms, fractional coordinates:
K 0.0000 0.0000 0.0000
Os 0.0000 0.5000 0.0000

The value obtained for the energy above the most stable polymorph in this dataset is 870.5 meV/atom. The formation energy is 6.62 eV per formula unit.

No. 4
The following is a PBE-GGA calculation of a relaxed KOs8 crystal, from the Alexandria database.

Unit cell a=8.4570 b=8.4570 c=3.9768 alpha=90.00 beta=90.00 gamma=90.00
Space group I4/mmm (No. 139)
Inequivalent atoms, fractional coordinates:
K 0.0000 0.0000 0.0000
Os 0.0000 0.3495 0.0000
Os 0.1856 0.1856 0.5000

The formation energy is 6.82 eV per formula unit.

No. 5
The following is a PBE-GGA calculation of a relaxed K3Os4 crystal, from the Alexandria database.

Unit cell a=4.8976 b=4.8976 c=6.5477 alpha=90.00 beta=90.00 gamma=120.00
Space group P6/mmm (No. 191)
Inequivalent atoms, fractional coordinates:
K 0.0000 0.5000 0.0000
Os 0.0000 0.0000 0.3268
Os 0.3333 0.6667 0.5000

The formation energy is 13.67 eV per formula unit.

No. 6
The following is a PBE-GGA calculation of a relaxed KOs3 crystal, from the Alexandria database.

Unit cell a=5.9965 b=8.4967 c=2.6122 alpha=90.00 beta=90.00 gamma=90.00
Space group Cmmm (No. 65)
Inequivalent atoms, fractional coordinates:
K 0.0000 0.0000 0.0000
Os 0.0000 0.5000 0.0000
Os 0.2500 0.2500 0.5000

The value obtained for the energy above the most stable polymorph in this dataset is 809.6 meV/atom. The formation energy is 6.38 eV per formula unit.